Sr2CuBrF | Alexandria via LeMat-Bulk | GGA-PBE | relaxed; formation energy (no corrections) = -0.78 eV per atom; density = 3376 kg/m³; N(E_F) = 4.1 states/eV per cell
1.0
5.767 0.000 0.000
0.000 4.994 0.000
0.000 0.000 5.767
Sr Cu F Br
2 1 1 1
Cartesian
0.000 0.000 2.884
2.884 0.000 0.000
0.000 0.000 0.000
2.884 2.497 2.884
0.000 2.497 0.000

***

LiMnMo2 | Alexandria via LeMat-Bulk | GGA-PBE | relaxed; density = 7691 kg/m³; N(E_F) = 3.1 states/eV per cell; energy relative to the lowest polymorph listed for this composition = 0.037 eV/atom
1.0
-3.151 2.929 -0.120
-0.973 -1.133 -2.103
-3.103 -3.248 2.197
Mo Mn Li
2 1 1
Cartesian
-3.992 -4.291 0.084
-2.624 0.341 0.047
-4.645 -1.833 0.043
-2.079 -2.239 -0.059

***

NaTbHo4Se8 | Alexandria via LeMat-Bulk | GGA-PBE | relaxed; formation energy (no corrections) = -1.77 eV per atom; density = 5758 kg/m³; N(E_F) = 0.0 states/eV per cell
1.0
8.426 0.000 0.000
4.213 7.297 0.000
4.213 2.432 6.910
Ho Tb Se Na
4 1 8 1
Cartesian
8.426 4.865 0.858
4.213 4.768 3.489
2.190 1.265 3.489
6.236 1.265 3.489
4.213 2.432 6.807
6.192 6.155 1.795
10.693 3.556 5.098
4.213 2.432 1.939
10.661 6.155 1.795
8.426 2.284 1.795
8.426 7.482 5.098
12.639 7.297 5.013
6.160 3.556 5.098
8.426 4.865 6.061

***

In6GaPb12 | Alexandria via LeMat-Bulk | GGA-PBE | relaxed; density = 9513 kg/m³; N(E_F) = 9.9 states/eV per cell; energy = -63.489 eV/f.u.
1.0
-6.750 6.124 -1.017
4.716 -0.942 -7.809
-3.353 -8.082 2.747
Pb In Ga
12 6 1
Cartesian
-5.373 -4.141 -1.305
-0.014 1.241 -4.774
-4.771 1.787 -4.664
-3.020 -5.129 1.073
-0.476 -3.361 -6.015
2.279 -1.299 -5.450
-4.911 0.462 -0.063
-2.367 2.230 -7.152
-4.608 3.549 -1.659
-0.779 -6.448 -4.420
-7.666 -1.600 -0.629
-0.616 -4.686 -1.415
-2.364 0.828 -2.344
-2.677 -2.026 -0.705
-3.023 -3.727 -3.735
-2.710 -0.873 -5.374
-5.086 -1.223 -3.101
-0.301 -1.676 -2.978
0.000 0.000 0.000